No. 1
## LiPPt (SCAN)

Data for a crystal of LiPPt relaxed with PBEsol.

a = 4.0862 Å, b = 4.0862 Å, c = 2.8168 Å
α = 90.00°, β = 90.00°, γ = 120.00°
Last column: nearest neighbours and their distance in Å.
Fractional positions:
Li 0.0000 0.0000 0.0000  6 P 2.75, 6 Pt 2.75, 2 Li 2.82
P 0.3333 0.6667 0.5000  3 Pt 2.36
Pt 0.6667 0.3333 0.5000  3 P 2.36

Calculated values
raw total energy	-28.370	eV/atom
calculated volume	41	Å³/f.u.
ΔE_f	-205	kJ/mol of formula units
space-group type	P-6m2
size of the total moment	0.00	μB/cell
D(E_F)	0.94	states/eV/cell

---

No. 2
## Li2P2Pt (SCAN)

Data for a crystal of Li2P2Pt relaxed with PBEsol.

a = 7.1511 Å, b = 7.1511 Å, c = 7.1511 Å
α = 156.83°, β = 152.01°, γ = 36.65°
Last column: nearest neighbours and their distance in Å.
Fractional positions:
Li 0.1964 0.1964 0.0000  5 P 2.56-2.69, 1 Pt 2.67, 4 Li 2.68
Li 0.8036 0.8036 0.0000  5 P 2.56-2.69, 1 Pt 2.67, 4 Li 2.68
P 0.3944 0.3944 0.0000  5 Li 2.56-2.69, 4 Pt 2.67, 1 P 2.87
P 0.6056 0.6056 0.0000  5 Li 2.56-2.69, 4 Pt 2.67, 1 P 2.87
Pt 0.0000 0.0000 0.0000  2 Li 2.67, 8 P 2.67, 2 Pt 2.87

Calculated values
raw total energy	-19.292	eV/atom
calculated volume	67	Å³/f.u.
ΔE_f	-67	kJ/mol of formula units
space-group type	Immm
size of the total moment	0.00	μB/cell
D(E_F)	2.28	states/eV/cell

---

No. 3
## LiPPt2 (SCAN)

Data for a crystal of LiPPt2 relaxed with PBEsol.

a = 3.8943 Å, b = 3.8943 Å, c = 3.4307 Å
α = 90.00°, β = 90.00°, γ = 90.00°
Last column: nearest neighbours and their distance in Å.
Fractional positions:
Li 0.0000 0.0000 0.0000  8 Pt 2.59, 4 P 2.75
P 0.5000 0.5000 0.0000  8 Pt 2.59, 4 Li 2.75
Pt 0.0000 0.5000 0.5000  4 Li 2.59, 4 P 2.59, 4 Pt 2.75
Pt 0.5000 0.0000 0.5000  4 Li 2.59, 4 P 2.59, 4 Pt 2.75

Calculated values
raw total energy	-38.817	eV/atom
calculated volume	52	Å³/f.u.
ΔE_f	-202	kJ/mol of formula units
space-group type	P4/mmm
size of the total moment	0.00	μB/cell
D(E_F)	1.39	states/eV/cell

---

Which of these has the highest calculated volume? Li2P2Pt